Record 1
This record from Alexandria describes a relaxed InOsSe2 crystal. The functional is GGA-PBEsol.

The structure belongs to space group C2/m (No. 12); the cell edges are 5.4444, 10.2308 and 3.3844 Å and the angles 90.00°, 127.99° and 90.00°. Symmetry generates all atoms from In at (0.0000, 0.0000, 0.0000), Os at (0.0000, 0.5000, 0.0000) and Se at (0.2500, 0.2500, 0.0000).

The calculation puts the electronic total energy at -5.06 eV/atom. The calculation puts the raw formation energy at 0.668 eV/atom. Its magnetization is 0.00 μB per atom.

---

Record 2
This record from Alexandria describes a relaxed InOsSe2 crystal. The functional is GGA-PBEsol.

The structure belongs to space group P4/mmm (No. 123); the cell edges are 4.0529, 4.0529 and 4.3962 Å and the angles 90.00°, 90.00° and 90.00°. Symmetry generates all atoms from In at (0.0000, 0.0000, 0.0000), Os at (0.5000, 0.5000, 0.0000) and Se at (0.0000, 0.5000, 0.5000).

The calculation puts the electronic total energy at -4.93 eV/atom. The calculation puts the raw formation energy at 0.796 eV/atom. Its magnetization is 0.00 μB per atom.

---

What is the raw formation energy in the second record?
0.796 eV/atom

---

Among the records above, which one has the lowest electronic total energy?
number 1

---

What is the magnetization in the first record?
0.00 μB per atom